--- w ---
Material: ZnCu2As
Method: DFT, meta-GGA SCAN
State: single point on PBEsol structure

abc: 3.692 3.692 7.838
angles: 90.00 90.00 90.00
Fractional positions:
Zn1 0.000 0.000 0.000
Zn2 0.500 0.500 0.500
Cu1 0.000 0.000 0.500
Cu2 0.000 0.500 0.250
Cu3 0.500 0.000 0.750
Cu4 0.500 0.500 0.000
As1 0.000 0.500 0.750
As2 0.500 0.000 0.250

Output
SG = No. 119
calculated density = 8.31 Mg/m³

---

--- x ---
Material: ZnCu2As
Method: DFT, meta-GGA SCAN
State: single point on PBEsol structure

abc: 2.950 3.567 5.148
angles: 90.00 90.00 90.00
Fractional positions:
Zn1 0.000 0.000 0.000
Cu1 0.000 0.000 0.524
Cu2 0.500 0.500 0.777
As1 0.500 0.500 0.294

Output
SG = No. 25
calculated density = 8.20 Mg/m³

---

So which one is most stable? That would be w, about 0.5 kJ/mol of atoms below the next structure.

---

--- w ---
Material: ZnCu2As
Method: DFT, meta-GGA SCAN
State: single point on PBEsol structure

abc: 8.947 2.726 4.519
angles: 90.00 99.23 90.00
Fractional positions:
Zn1 0.000 0.000 0.000
Zn2 0.500 0.500 0.000
Cu1 0.248 0.500 0.208
Cu2 0.482 0.000 0.470
Cu3 0.748 0.000 0.208
Cu4 0.982 0.500 0.470
As1 0.229 0.000 0.690
As2 0.729 0.500 0.690

Output
SG = No. 8
calculated density = 8.16 Mg/m³

---

--- x ---
Material: ZnCu2As
Method: DFT, meta-GGA SCAN
State: single point on PBEsol structure

abc: 2.725 2.725 7.498
angles: 90.00 90.00 90.00
Fractional positions:
Zn1 0.000 0.000 0.000
Cu1 0.000 0.000 0.565
Cu2 0.500 0.500 0.783
As1 0.500 0.500 0.319

Output
SG = No. 99
calculated density = 7.98 Mg/m³

---

So which one is most stable? That would be w, about 2.1 kJ/mol of atoms below the next structure.

---

--- w ---
Material: GaAsF2
Method: DFT, meta-GGA SCAN
State: single point on PBEsol structure

abc: 6.047 6.047 6.047
angles: 90.00 90.00 90.00
Fractional positions:
Ga1 0.000 0.000 0.000
Ga2 0.000 0.500 0.500
Ga3 0.500 0.000 0.500
Ga4 0.500 0.500 0.000
As1 0.000 0.000 0.500
As2 0.000 0.500 0.000
As3 0.500 0.000 0.000
As4 0.500 0.500 0.500
F1 0.250 0.250 0.250
F2 0.250 0.250 0.750
F3 0.250 0.750 0.250
F4 0.250 0.750 0.750
F5 0.750 0.250 0.250
F6 0.750 0.250 0.750
F7 0.750 0.750 0.250
F8 0.750 0.750 0.750

Output
SG = No. 225
calculated density = 5.49 Mg/m³

---

--- x ---
Material: GaAsF2
Method: DFT, meta-GGA SCAN
State: single point on PBEsol structure

abc: 6.872 6.872 5.140
angles: 90.00 90.00 90.00
Fractional positions:
Ga1 0.000 0.000 0.000
Ga2 0.000 0.500 0.250
Ga3 0.500 0.000 0.750
Ga4 0.500 0.500 0.500
As1 0.000 0.000 0.500
As2 0.000 0.500 0.750
As3 0.500 0.000 0.250
As4 0.500 0.500 0.000
F1 0.121 0.250 0.125
F2 0.250 0.621 0.375
F3 0.250 0.879 0.875
F4 0.379 0.250 0.625
F5 0.621 0.750 0.625
F6 0.750 0.121 0.875
F7 0.750 0.379 0.375
F8 0.879 0.750 0.125

Output
SG = No. 122
calculated density = 5.00 Mg/m³

---

So which one is most stable? That would be x, about 46.1 kJ/mol of atoms below the next structure.

---

--- w ---
Material: GeAs2F
Method: DFT, meta-GGA SCAN
State: single point on PBEsol structure

abc: 6.278 6.278 6.278
angles: 90.00 90.00 90.00
Fractional positions:
Ge1 0.000 0.000 0.000
Ge2 0.000 0.500 0.500
Ge3 0.500 0.000 0.500
Ge4 0.500 0.500 0.000
As1 0.250 0.250 0.250
As2 0.250 0.250 0.750
As3 0.250 0.750 0.250
As4 0.250 0.750 0.750
As5 0.750 0.250 0.250
As6 0.750 0.250 0.750
As7 0.750 0.750 0.250
As8 0.750 0.750 0.750
F1 0.000 0.000 0.500
F2 0.000 0.500 0.000
F3 0.500 0.000 0.000
F4 0.500 0.500 0.500

Output
SG = No. 225
calculated density = 6.48 Mg/m³

---

--- x ---
Material: GeAs2F
Method: DFT, meta-GGA SCAN
State: single point on PBEsol structure

abc: 6.034 6.034 9.290
angles: 90.00 90.00 90.00
Fractional positions:
Ge1 0.000 0.000 0.000
Ge2 0.000 0.500 0.250
Ge3 0.500 0.000 0.750
Ge4 0.500 0.500 0.500
As1 0.234 0.250 0.625
As2 0.250 0.734 0.875
As3 0.250 0.766 0.375
As4 0.266 0.250 0.125
As5 0.734 0.750 0.125
As6 0.750 0.234 0.375
As7 0.750 0.266 0.875
As8 0.766 0.750 0.625
F1 0.000 0.000 0.500
F2 0.000 0.500 0.750
F3 0.500 0.000 0.250
F4 0.500 0.500 0.000

Output
SG = No. 122
calculated density = 4.74 Mg/m³

---

So which one is most stable? That would be w, about 17.9 kJ/mol of atoms below the next structure.